[1]
Computed, not measured: a geometry-optimized Fe3HBr structure at the PBE-GGA level of DFT.

The crystal system is cubic. The value obtained for the energy is -5.2111 eV per atom.

It has space group Pm-3m (No. 221), with a = 3.6940 Å, b = 3.6940 Å, c = 3.6940 Å, α = 90.00°, β = 90.00° and γ = 90.00°. The distinct sites, in fractional coordinates, are Fe at (0.0000, 0.0000, 0.5000), H at (0.0000, 0.0000, 0.0000) and Br at (0.5000, 0.5000, 0.5000).

[2]
Computed, not measured: a geometry-optimized LiCe2Ru structure at the PBE-GGA level of DFT.

The energy of formation is -0.088 eV/atom. The crystal system is cubic.

It has space group Fm-3m (No. 225), with a = 7.0096 Å, b = 7.0096 Å, c = 7.0096 Å, α = 90.00°, β = 90.00° and γ = 90.00°. The distinct sites, in fractional coordinates, are Li at (0.0000, 0.0000, 0.0000), Ce at (0.2500, 0.2500, 0.2500) and Ru at (0.0000, 0.0000, 0.5000).

[3]
Computed, not measured: a geometry-optimized AlTc2AgO8 structure at the PBE-GGA level of DFT.

The crystal system is trigonal. The calculation puts the raw formation energy at -16.858 eV/f.u.

It has space group P-3 (No. 147), with a = 5.6204 Å, b = 5.6204 Å, c = 6.4798 Å, α = 90.00°, β = 90.00° and γ = 120.00°. The distinct sites, in fractional coordinates, are Al at (0.0000, 0.0000, 0.0000), Tc at (0.3333, 0.6667, 0.2597), Ag at (0.0000, 0.0000, 0.5000), O at (0.1546, 0.3128, 0.1758) and O at (0.3333, 0.6667, 0.5277).

[4]
Computed, not measured: a geometry-optimized Li3Nd2Cd4 structure at the PBE-GGA level of DFT.

The energy of formation is -0.242 eV/atom. The crystal system is triclinic.

It has space group P-1 (No. 2), with a = 4.9301 Å, b = 5.6959 Å, c = 8.5891 Å, α = 105.62°, β = 90.06° and γ = 115.19°. The distinct sites, in fractional coordinates, are Li at (0.0000, 0.0000, 0.0000), Li at (0.3720, 0.7457, 0.4712), Nd at (0.2501, 0.5019, 0.7810), Cd at (0.0836, 0.1647, 0.3656) and Cd at (0.4302, 0.8614, 0.1592).

[5]
Computed, not measured: a geometry-optimized KMo2 structure at the PBE-GGA level of DFT.

The energy of formation is 1.589 eV/atom. The crystal system is hexagonal.

It has space group P6_3/mmc (No. 194), with a = 5.1486 Å, b = 5.1486 Å, c = 5.3286 Å, α = 90.00°, β = 90.00° and γ = 120.00°. The distinct sites, in fractional coordinates, are K at (0.0000, 0.0000, 0.2500) and Mo at (0.3333, 0.6667, 0.0263).

[6]
Computed, not measured: a geometry-optimized Li2ZrMn structure at the PBE-GGA level of DFT.

The energy of formation is 0.188 eV/atom. The crystal system is tetragonal.

It has space group P4mm (No. 99), with a = 3.0001 Å, b = 3.0001 Å, c = 8.2815 Å, α = 90.00°, β = 90.00° and γ = 90.00°. The distinct sites, in fractional coordinates, are Li at (0.0000, 0.0000, 0.0000), Li at (0.5000, 0.5000, 0.2487), Zr at (0.5000, 0.5000, 0.6932) and Mn at (0.0000, 0.0000, 0.4686).

[7]
Computed, not measured: a geometry-optimized TmGaNi structure at the PBE-GGA level of DFT.

The energy of formation is -0.441 eV/atom. The crystal system is tetragonal.

It has space group I4mm (No. 107), with a = 3.2114 Å, b = 3.2114 Å, c = 10.1610 Å, α = 90.00°, β = 90.00° and γ = 90.00°. The distinct sites, in fractional coordinates, are Tm at (0.0000, 0.0000, 0.0000), Ga at (0.0000, 0.0000, 0.7047) and Ni at (0.0000, 0.0000, 0.3179).

[8]
Computed, not measured: a geometry-optimized ThGeIr4 structure at the PBE-GGA level of DFT.

The energy of formation is -0.368 eV/atom. The crystal system is cubic.

It has space group F-43m (No. 216), with a = 7.5777 Å, b = 7.5777 Å, c = 7.5777 Å, α = 90.00°, β = 90.00° and γ = 90.00°. The distinct sites, in fractional coordinates, are Th at (0.0000, 0.0000, 0.0000), Ge at (0.2500, 0.2500, 0.2500) and Ir at (0.1239, 0.1239, 0.6239).

[9]
Computed, not measured: a geometry-optimized YPuSc2 structure at the PBE-GGA level of DFT.

The energy of formation is 0.105 eV/atom. The crystal system is trigonal.

It has space group R3m (No. 160, hexagonal axes), with a = 3.3773 Å, b = 3.3773 Å, c = 32.3989 Å, α = 90.00°, β = 90.00° and γ = 120.00°. The distinct sites, in fractional coordinates, are Y at (0.0000, 0.0000, 0.0000), Pu at (0.0000, 0.0000, 0.8342), Sc at (0.0000, 0.0000, 0.2481) and Sc at (0.0000, 0.0000, 0.4195).

[10]
Computed, not measured: a geometry-optimized CaNiPt2 structure at the PBE-GGA level of DFT.

The energy of formation is -0.291 eV/atom. The crystal system is monoclinic.

It has space group Pm (No. 6), with a = 2.9031 Å, b = 4.6239 Å, c = 4.9823 Å, α = 90.00°, β = 90.08° and γ = 90.00°. The distinct sites, in fractional coordinates, are Ca at (0.0000, 0.0000, 0.0000), Ni at (0.9976, 0.5000, 0.3939), Pt at (0.4994, 0.5000, 0.8397) and Pt at (0.4996, 0.0000, 0.4861).

[11]
Computed, not measured: a geometry-optimized ErCdCu2 structure at the PBE-GGA level of DFT.

The energy of formation is -0.112 eV/atom. The crystal system is tetragonal.

It has space group P4/mmm (No. 123), with a = 3.3645 Å, b = 3.3645 Å, c = 6.5196 Å, α = 90.00°, β = 90.00° and γ = 90.00°. The distinct sites, in fractional coordinates, are Er at (0.0000, 0.0000, 0.0000), Cd at (0.0000, 0.0000, 0.5000) and Cu at (0.5000, 0.5000, 0.2627).

[12]
Computed, not measured: a geometry-optimized Dy6Hg2S structure at the PBE-GGA level of DFT.

The crystal system is monoclinic. The calculation puts the raw formation energy at -5.684 eV/f.u.

It has space group P2_1/c (No. 14), with a = 6.6618 Å, b = 7.3427 Å, c = 12.2294 Å, α = 90.00°, β = 122.74° and γ = 90.00°. The distinct sites, in fractional coordinates, are Dy at (0.1180, 0.0197, 0.2490), Dy at (0.2185, 0.6981, 0.0530), Dy at (0.3691, 0.1762, 0.0493), Hg at (0.3142, 0.1014, 0.7478) and S at (0.5000, 0.0000, 0.5000).

Ρ across the listed records, respectively: 8.2, 7.5, 4.3, 6.0, 6.3, 3.6, 9.4, 16.4, 6.6, 12.1, 9.2, 9.3 g/cm3.